Here is crystalline RuW3 at its relaxed geometry from the Alexandria database. Energies are from GGA-PBE.

POSCAR file:
```
RuW3
1.0
-1.8057 1.6718 1.3173
-0.9311 -1.9080 -1.8120
-0.7157 -6.2420 6.9404
W Ru
3 1
Cartesian
-1.7690 -5.4795 4.5290
-1.3920 -2.1920 0.8737
-0.3579 -3.1210 3.4702
0.0000 0.0000 0.0000
```

Results
* magnetic moment: 0.00 μB/cell
* space-group type: No. 187
* D(E_F): 4.71 states/eV/cell
* DFT formation energy: 0.2749 eV per atom

Here is crystalline InCoRe4 at its relaxed geometry from the Alexandria database. Energies are from GGA-PBE.

POSCAR file:
```
InCoRe4
1.0
0.0000 3.6814 3.6814
3.6814 0.0000 3.6814
3.6814 3.6814 0.0000
Re In Co
4 1 1
Cartesian
2.7629 2.7629 2.7629
2.7629 4.5998 4.5998
4.5998 2.7629 4.5998
4.5998 4.5998 2.7629
0.0000 0.0000 0.0000
5.5220 5.5220 5.5220
```

Results
* magnetic moment: 1.94 μB/cell
* space-group type: No. 216
* D(E_F): 5.01 states/eV/cell
* DFT formation energy: 0.6593 eV per atom

Here is crystalline HoThZnPd at its relaxed geometry from the Alexandria database. Energies are from GGA-PBE.

POSCAR file:
```
HoThZnPd
1.0
5.0888 0.0000 0.0000
2.5444 4.4070 0.0000
2.5444 1.4690 4.1550
Ho Zn Th Pd
1 1 1 1
Cartesian
5.0888 2.9380 2.0775
2.5444 1.4690 1.0387
0.0000 0.0000 0.0000
7.6332 4.4070 3.1162
```

Results
* magnetic moment: 0.00 μB/cell
* space-group type: No. 216
* D(E_F): 3.69 states/eV/cell
* DFT formation energy: -0.4743 eV per atom

Here is crystalline TlSnHgSb at its relaxed geometry from the Alexandria database. Energies are from GGA-PBE.

POSCAR file:
```
TlSnHgSb
1.0
-3.6535 1.4998 1.8733
0.7196 -4.3043 -0.2471
3.6965 0.2159 7.0368
Sb Hg Tl Sn
1 1 1 1
Cartesian
-0.0152 -3.7169 0.8093
1.9900 -3.5999 4.6316
-0.4441 -1.7211 3.4804
0.0450 0.3263 7.8873
```

Results
* ΔE to the lowest computed polymorph: 0.0000 eV/atom
* magnetic moment: 0.00 μB/cell
* space-group type: No. 156
* ΔE_f (raw): 0.04 eV per formula unit
* D(E_F): 1.61 states/eV/cell

Here is crystalline ZnCrGe2 at its relaxed geometry from the Alexandria database. Energies are from GGA-PBE.

POSCAR file:
```
ZnCrGe2
1.0
-1.8212 1.9581 -1.2532
-1.1103 -0.5246 -2.6858
-7.7635 -3.5367 2.2764
Ge Cr Zn
2 1 1
Cartesian
-5.8330 -2.3947 1.2553
-4.8620 0.2915 -2.9180
-5.3475 -1.0516 -0.8313
0.0000 0.0000 0.0000
```

Results
* magnetic moment: 1.72 μB/cell
* space-group type: No. 166
* D(E_F): 2.55 states/eV/cell
* DFT formation energy: 0.1650 eV per atom

Here is crystalline Sm3Y4Tm at its relaxed geometry from the Alexandria database. Energies are from GGA-PBE.

POSCAR file:
```
Sm3Y4Tm
1.0
-0.6858 -2.4455 2.3608
-5.6606 -1.5898 -3.2912
14.5975 -4.0173 -2.4675
Sm Y Tm
3 4 1
Cartesian
-2.8303 -0.7949 -1.6456
2.6613 -5.1926 -2.0591
5.5898 -2.8600 -1.3387
-0.3566 -3.5188 -1.2019
2.5232 -2.7095 0.4729
5.7279 -5.3431 -3.8708
8.6077 -4.5338 -2.1959
-0.3429 -1.2228 1.1804
```

Results
* ΔE to the lowest computed polymorph: 0.1730 eV/atom
* magnetic moment: 0.00 μB/cell
* space-group type: No. 71
* D(E_F): 15.08 states/eV/cell
* DFT formation energy: 0.1838 eV per atom

| no. | volume (Å³/cell) |
| --- | --- |
| 1 | 63.2 |
| 2 | 99.8 |
| 3 | 93.2 |
| 4 | 131.6 |
| 5 | 65.4 |
| 6 | 266.5 |